! LiPCl2 | Alexandria via LeMat-Bulk | PBE | relaxed; values from VASP
&SYSTEM
  ibrav = 0, nat = 4, ntyp = 3
/
ATOMIC_SPECIES
P 30.97 P.upf
Cl 35.45 Cl.upf
Li 6.94 Li.upf
ATOMIC_POSITIONS angstrom
P 0.000 0.000 13.012
Cl 0.000 0.000 23.868
Li 0.000 0.000 0.000
Cl 0.000 0.000 2.157
CELL_PARAMETERS angstrom
1.921 0.000 8.675
-0.961 1.664 8.675
-0.961 -1.664 8.675
! Total DFT energy (no corrections) ... -2.8191 eV/atom
! Crystal system ... trigonal
! Relative energy among the computed polymorphs ... 594.2 meV/atom
! Calculated volume ... 83.2 Å³ per cell
! Uncorrected formation energy ... -0.0648 eV/atom